# Ho3Ga3GePd2

A relaxed Ho3Ga3GePd2 crystal (PBE, OQMD via LeMat-Bulk).

The space group is P-62m (No. 189) and the conventional cell measures 7.6043, 7.6043 and 3.8816 Å, with angles of 90.00, 90.00 and 120.00 degrees. The distinct sites, in fractional coordinates, are Ho at (0.0000, 0.7198, 0.0000), Ga at (0.0000, 0.4047, 0.5000), Ge at (0.0000, 0.0000, 0.5000) and Pd at (0.3333, 0.6667, 0.0000).

For the energy, the calculation gives -42.10 eV per cell. The calculation puts the density at 8.5 g cm⁻³. The value obtained for the volume is 194.4 Å³/cell.



# Nd2Sm2C2Br5

A relaxed Nd2Sm2C2Br5 crystal (PBE, OQMD via LeMat-Bulk).

The space group is C2/m (No. 12) and the conventional cell measures 19.370, 3.922 and 8.229 Å, with angles of 90.00, 104.07 and 90.00 degrees. The distinct sites, in fractional coordinates, are Nd at (0.000, 0.000, 0.203), Sm at (0.156, 0.500, 0.098), C at (0.038, 0.500, 0.023), Br at (0.000, 0.500, 0.500), Br at (0.162, 0.000, 0.364) and Br at (0.169, 0.000, 0.835).

For the energy, the calculation gives -121.72 eV per cell. The calculation puts the density at 5.5 g cm⁻³. The value obtained for the volume is 606.4 Å³/cell.